The following is a DFT calculation (PBE-GGA) of a geometry-optimized NbPtN2F structure.

Results
crystal system = tetragonal
size of the total moment = 0.0 μB/f.u.
raw formation energy = 134 meV/atom
D(E_F) = 0.653 states/eV per atom

Cell and atoms, written as CIF:
```
data_NbPtN2F
_chemical_formula_sum 'Nb1 Pt1 N2 F1'
_cell_length_a 4.1116
_cell_length_b 4.1116
_cell_length_c 3.9731
_cell_angle_alpha 90.00
_cell_angle_beta 90.00
_cell_angle_gamma 90.00
_space_group_name_H-M_alt 'P 1'
_space_group_IT_number 1
loop_
_space_group_symop_operation_xyz
'x,y,z'
loop_
_atom_site_label
_atom_site_type_symbol
_atom_site_fract_x
_atom_site_fract_y
_atom_site_fract_z
Nb1 Nb 0.0000 0.0000 0.0000
Pt1 Pt 0.5000 0.5000 0.5000
N1 N 0.0000 0.5000 0.0000
N2 N 0.5000 0.0000 0.0000
F1 F 0.0000 0.0000 0.5000
```

---

The following is a DFT calculation (PBE-GGA) of a geometry-optimized NbPtN2F structure.

Results
crystal system = tetragonal
size of the total moment = 0.0 μB/f.u.
raw formation energy = 952 meV/atom
D(E_F) = 0.884 states/eV per atom

Cell and atoms, written as CIF:
```
data_NbPtN2F
_chemical_formula_sum 'Nb1 Pt1 N2 F1'
_cell_length_a 3.9605
_cell_length_b 3.9605
_cell_length_c 4.0561
_cell_angle_alpha 90.00
_cell_angle_beta 90.00
_cell_angle_gamma 90.00
_space_group_name_H-M_alt 'P 1'
_space_group_IT_number 1
loop_
_space_group_symop_operation_xyz
'x,y,z'
loop_
_atom_site_label
_atom_site_type_symbol
_atom_site_fract_x
_atom_site_fract_y
_atom_site_fract_z
Nb1 Nb 0.0000 0.0000 0.0000
Pt1 Pt 0.5000 0.5000 0.5000
N1 N 0.0000 0.5000 0.5000
N2 N 0.5000 0.0000 0.5000
F1 F 0.5000 0.5000 0.0000
```

---

The following is a DFT calculation (PBE-GGA) of a geometry-optimized Rb2NbNF6 structure.

Results
crystal system = tetragonal
size of the total moment = 4.0 μB/f.u.
raw formation energy = -2083 meV/atom
D(E_F) = 0.875 states/eV per atom

Cell and atoms, written as CIF:
```
data_Rb2NbNF6
_chemical_formula_sum 'Rb2 Nb1 N1 F6'
_cell_length_a 6.6458
_cell_length_b 6.6458
_cell_length_c 6.6458
_cell_angle_alpha 120.41
_cell_angle_beta 120.41
_cell_angle_gamma 89.30
_space_group_name_H-M_alt 'P 1'
_space_group_IT_number 1
loop_
_space_group_symop_operation_xyz
'x,y,z'
loop_
_atom_site_label
_atom_site_type_symbol
_atom_site_fract_x
_atom_site_fract_y
_atom_site_fract_z
Rb1 Rb 0.2500 0.7500 0.5000
Rb2 Rb 0.7500 0.2500 0.5000
Nb1 Nb 0.0000 0.0000 0.0000
N1 N 0.5000 0.5000 0.0000
F1 F 0.2141 0.2141 0.4283
F2 F 0.2141 0.7859 0.0000
F3 F 0.2147 0.2147 0.0000
F4 F 0.7853 0.7853 0.0000
F5 F 0.7859 0.2141 0.0000
F6 F 0.7859 0.7859 0.5717
```

---

The following is a DFT calculation (PBE-GGA) of a geometry-optimized NbReNF2 structure.

Results
crystal system = tetragonal
size of the total moment = 2.8 μB/f.u.
raw formation energy = 103 meV/atom
D(E_F) = 0.921 states/eV per atom

Cell and atoms, written as CIF:
```
data_NbReNF2
_chemical_formula_sum 'Nb1 Re1 N1 F2'
_cell_length_a 4.2094
_cell_length_b 4.2094
_cell_length_c 3.8864
_cell_angle_alpha 90.00
_cell_angle_beta 90.00
_cell_angle_gamma 90.00
_space_group_name_H-M_alt 'P 1'
_space_group_IT_number 1
loop_
_space_group_symop_operation_xyz
'x,y,z'
loop_
_atom_site_label
_atom_site_type_symbol
_atom_site_fract_x
_atom_site_fract_y
_atom_site_fract_z
Nb1 Nb 0.0000 0.0000 0.0000
Re1 Re 0.5000 0.5000 0.5000
N1 N 0.5000 0.5000 0.0000
F1 F 0.0000 0.5000 0.5000
F2 F 0.5000 0.0000 0.5000
```

---

Please write out number 3 again, unchanged.
The following is a DFT calculation (PBE-GGA) of a geometry-optimized Rb2NbNF6 structure.

Results
crystal system = tetragonal
size of the total moment = 4.0 μB/f.u.
raw formation energy = -2083 meV/atom
D(E_F) = 0.875 states/eV per atom

Cell and atoms, written as CIF:
```
data_Rb2NbNF6
_chemical_formula_sum 'Rb2 Nb1 N1 F6'
_cell_length_a 6.6458
_cell_length_b 6.6458
_cell_length_c 6.6458
_cell_angle_alpha 120.41
_cell_angle_beta 120.41
_cell_angle_gamma 89.30
_space_group_name_H-M_alt 'P 1'
_space_group_IT_number 1
loop_
_space_group_symop_operation_xyz
'x,y,z'
loop_
_atom_site_label
_atom_site_type_symbol
_atom_site_fract_x
_atom_site_fract_y
_atom_site_fract_z
Rb1 Rb 0.2500 0.7500 0.5000
Rb2 Rb 0.7500 0.2500 0.5000
Nb1 Nb 0.0000 0.0000 0.0000
N1 N 0.5000 0.5000 0.0000
F1 F 0.2141 0.2141 0.4283
F2 F 0.2141 0.7859 0.0000
F3 F 0.2147 0.2147 0.0000
F4 F 0.7853 0.7853 0.0000
F5 F 0.7859 0.2141 0.0000
F6 F 0.7859 0.7859 0.5717
```

---

Q: Look up the D(E_F) of the fourth one.
A: 0.921 states/eV per atom